# 1
Below is a relaxed structure of Ca2Ge3AsPd4, with properties calculated at the PBE level.

```
data_Ca2Ge3AsPd4
_cell_length_a 4.340
_cell_length_b 4.340
_cell_length_c 10.323
_cell_angle_alpha 90.00
_cell_angle_beta 90.00
_cell_angle_gamma 90.00
_symmetry_space_group_name_H-M 'P -4 m 2'
_symmetry_Int_Tables_number 115
loop_
_symmetry_equiv_pos_as_xyz
'x,y,z'
'y,-x,-z'
'-x,-y,z'
'-y,x,-z'
'-x,y,z'
'-y,-x,-z'
'x,-y,z'
'y,x,-z'
loop_
_atom_site_label
_atom_site_type_symbol
_atom_site_fract_x
_atom_site_fract_y
_atom_site_fract_z
Ca1 Ca 0.000 0.500 0.247
Ge1 Ge 0.000 0.000 0.000
Ge2 Ge 0.000 0.500 0.626
As1 As 0.500 0.500 0.000
Pd1 Pd 0.000 0.000 0.500
Pd2 Pd 0.000 0.500 0.865
Pd3 Pd 0.500 0.500 0.500
```

## Properties
ΔE_f	-692	meV per atom
density of states at the Fermi level	0.500	states/eV per atom

***

# 2
Below is a relaxed structure of HgPb4Se, with properties calculated at the PBE level.

```
data_HgPb4Se
_cell_length_a 9.126
_cell_length_b 9.126
_cell_length_c 9.126
_cell_angle_alpha 90.00
_cell_angle_beta 90.00
_cell_angle_gamma 90.00
_symmetry_space_group_name_H-M 'F -4 3 m'
_symmetry_Int_Tables_number 216
_symmetry_space_group_name_Hall 'F -4 2 3'
loop_
_atom_site_label
_atom_site_type_symbol
_atom_site_fract_x
_atom_site_fract_y
_atom_site_fract_z
Hg1 Hg 0.000 0.000 0.000
Pb1 Pb 0.125 0.125 0.625
Se1 Se 0.250 0.250 0.250
```

## Properties
uncorrected formation energy	0.2083	eV per atom
density of states at the Fermi level	0.239	states/eV per atom

***

# 3
Below is a relaxed structure of TiBiPd3, with properties calculated at the PBE level.

```
data_TiBiPd3
_cell_length_a 4.738
_cell_length_b 4.738
_cell_length_c 4.738
_cell_angle_alpha 90.00
_cell_angle_beta 90.00
_cell_angle_gamma 90.00
_symmetry_space_group_name_H-M 'P m -3 m'
_symmetry_Int_Tables_number 221
_symmetry_space_group_name_Hall '-P 4 2 3'
loop_
_atom_site_label
_atom_site_type_symbol
_atom_site_fract_x
_atom_site_fract_y
_atom_site_fract_z
Ti1 Ti 0.000 0.000 0.000
Bi1 Bi 0.500 0.500 0.500
Pd1 Pd 0.000 0.000 0.500
```

## Properties
ΔE_f	261	meV per atom
ΔE to the lowest computed polymorph	53.65	kJ/mol of atoms
density of states at the Fermi level	0.806	states/eV per atom